1.
HoZn11Ga, relaxed, DFT PBE; DOS(E_F) = 0.187 states/eV per atom; uncorrected energy = -23.6 eV/cell; volume = 206.78 Å³/cell
1.0
2.6278 -6.2762 0.0000
2.6278 6.2762 0.0000
-2.6098 0.0000 6.2688
Ho Zn Ga
1 11 1
Cartesian
0.0000 0.0000 0.0000 Ho
-1.3049 0.0000 3.1344 Zn
1.3139 3.1381 0.0000 Zn
0.0521 4.0332 4.0577 Zn
-0.0146 1.3610 4.9286 Zn
2.5938 4.0332 2.2110 Zn
-0.0146 -1.3610 4.9286 Zn
1.3139 -3.1381 0.0000 Zn
2.6605 1.3610 1.3402 Zn
0.0521 -4.0332 4.0577 Zn
2.6605 -1.3610 1.3402 Zn
2.5938 -4.0332 2.2110 Zn
1.3229 0.0000 3.1344 Ga

=====

2.
HfZrGe2Os, relaxed, DFT PBE; DOS(E_F) = 0.826 states/eV per atom; uncorrected energy = -36.3 eV/cell; volume = 114.22 Å³/cell
1.0
4.6958 0.0000 0.0000
0.0000 4.6958 0.0000
0.0000 0.0000 5.1798
Hf Zr Ge Os
1 1 2 1
Cartesian
0.0000 0.0000 0.0000 Hf
2.3479 2.3479 0.0000 Zr
0.0000 2.3479 2.5899 Ge
2.3479 0.0000 2.5899 Ge
2.3479 2.3479 2.5899 Os

=====

3.
NaGePb2S, relaxed, DFT PBE; formation energy from raw total energies = 0.8171 eV/atom; DOS(E_F) = 0.914 states/eV per atom; volume = 175.27 Å³/cell
1.0
5.8112 0.0000 0.0000
0.0000 5.8112 0.0000
0.0000 0.0000 5.1902
Na Ge Pb S
1 1 2 1
Cartesian
0.0000 0.0000 0.0000 Na
0.0000 0.0000 2.5951 Ge
0.0000 2.9056 0.0000 Pb
2.9056 0.0000 0.0000 Pb
2.9056 2.9056 2.5951 S